1.
VASP calculation (PBE-GGA) on a relaxed structure of Er2ScAg4.

a = 6.765 Å, b = 6.765 Å, c = 7.436 Å
α = 90.00°, β = 90.00°, γ = 90.00°
Space group I4/mmm (No. 139)
Unique sites:
Er: 0.000 0.500 0.000
Sc: 0.000 0.000 0.000
Ag: 0.250 0.250 0.250

Computed properties:
The value obtained for the formation energy is -0.082 eV/atom. For the raw total energy, the calculation gives -0.144 hartree per atom. For the total magnetization, the calculation gives 0.000 μB per formula unit.


2.
VASP calculation (PBE-GGA) on a relaxed structure of Er2ScAg2.

a = 4.674 Å, b = 6.286 Å, c = 8.341 Å
α = 90.00°, β = 90.00°, γ = 90.00°
Space group Immm (No. 71)
Unique sites:
Er: 0.000 0.000 0.203
Sc: 0.000 0.500 0.000
Ag: 0.000 0.279 0.500

Computed properties:
The value obtained for the formation energy is -0.161 eV/atom. For the raw total energy, the calculation gives -0.161 hartree per atom. For the total magnetization, the calculation gives 0.000 μB per formula unit.